(1)
DFT (PBE-GGA) results for HfTaCl2 after structural relaxation.

Formation energy (no corrections), eV per atom: 0.51
Offset from the most stable computed form, meV per atom: 746
Raw total energy, eV for the cell shown: -23.46
Space group: Fm-3m, No. 225
Calculated density, Mg/m³: 10.3
Crystal system: cubic

Geometry as POSCAR:
```
HfTaCl2
1.0
0.000 3.264 3.264
3.264 0.000 3.264
3.264 3.264 0.000
Hf Ta Cl
1 1 2
Direct
0.000 0.000 0.000
0.500 0.500 0.500
0.250 0.250 0.250
0.750 0.750 0.750
```

=====

(2)
DFT (PBE-GGA) results for HfTaTe2Cl after structural relaxation.

Formation energy (no corrections), eV per atom: 1.17
Raw total energy, eV for the cell shown: -24.09
Space group: P4/mmm, No. 123
Calculated density, Mg/m³: 8.5
Crystal system: tetragonal

Geometry as POSCAR:
```
HfTaTe2Cl
1.0
5.285 0.000 0.000
0.000 5.285 0.000
0.000 0.000 4.569
Hf Ta Te Cl
1 1 2 1
Direct
0.000 0.000 0.000
0.500 0.500 0.000
0.000 0.500 0.500
0.500 0.000 0.500
0.000 0.000 0.500
```

=====

(3)
DFT (PBE-GGA) results for Hf2TaTlCl after structural relaxation.

Formation energy (no corrections), eV per atom: 1.85
Raw total energy, eV for the cell shown: -26.70
Space group: P4/mmm, No. 123
Calculated density, Mg/m³: 8.9
Crystal system: tetragonal

Geometry as POSCAR:
```
Hf2TaTlCl
1.0
5.369 0.000 0.000
0.000 5.369 0.000
0.000 0.000 5.049
Hf Ta Tl Cl
2 1 1 1
Direct
0.000 0.500 0.000
0.500 0.000 0.000
0.000 0.000 0.500
0.500 0.500 0.000
0.500 0.500 0.500
```

=====

(4)
DFT (PBE-GGA) results for HfTa2TlCl after structural relaxation.

Formation energy (no corrections), eV per atom: 1.62
Raw total energy, eV for the cell shown: -29.76
Space group: P4/mmm, No. 123
Calculated density, Mg/m³: 8.9
Crystal system: tetragonal

Geometry as POSCAR:
```
HfTa2TlCl
1.0
5.025 0.000 0.000
0.000 5.025 0.000
0.000 0.000 5.744
Hf Ta Tl Cl
1 2 1 1
Direct
0.000 0.000 0.000
0.000 0.500 0.000
0.500 0.000 0.000
0.000 0.000 0.500
0.500 0.500 0.500
```

=====

(5)
DFT (PBE-GGA) results for YHfTaCl2 after structural relaxation.

Formation energy (no corrections), eV per atom: 0.66
Raw total energy, eV for the cell shown: -28.67
Space group: P4/mmm, No. 123
Calculated density, Mg/m³: 5.1
Crystal system: tetragonal

Geometry as POSCAR:
```
YHfTaCl2
1.0
4.892 0.000 0.000
0.000 4.892 0.000
0.000 0.000 7.008
Y Hf Ta Cl
1 1 1 2
Direct
0.000 0.000 0.000
0.000 0.000 0.500
0.500 0.500 0.500
0.000 0.500 0.000
0.500 0.000 0.000
```

=====

(6)
DFT (PBE-GGA) results for HfTaZnCl2 after structural relaxation.

Formation energy (no corrections), eV per atom: 0.37
Raw total energy, eV for the cell shown: -24.93
Space group: P4/mmm, No. 123
Calculated density, Mg/m³: 6.5
Crystal system: tetragonal

Geometry as POSCAR:
```
HfTaZnCl2
1.0
4.695 0.000 0.000
0.000 4.695 0.000
0.000 0.000 5.702
Hf Ta Zn Cl
1 1 1 2
Direct
0.000 0.000 0.000
0.000 0.000 0.500
0.500 0.500 0.000
0.000 0.500 0.500
0.500 0.000 0.500
```